# 1
Computed, not measured: crystalline TaFeCo2 at its relaxed geometry at the PBEsol level of DFT.

Calculated values
DFT total energy (eV/atom): -9.279
Excess energy over the best structure of this formula in the dataset (meV per atom): 170.5
Density (g cm⁻³): 11.90
Crystal system: cubic
Spin magnetization (μB/cell): 5.131
Formation energy from the elements (eV per atom): -0.0319

abc: 4.1212 4.1212 4.1212
angles: 60.00 60.00 60.00
Element x y z (fractional)
Co 0.7500 0.7500 0.7500
Co 0.2500 0.2500 0.2500
Fe 0.0000 0.0000 0.0000
Ta 0.5000 0.5000 0.5000

---

# 2
Computed, not measured: crystalline TlOsBr2 at its relaxed geometry at the PBEsol level of DFT.

Calculated values
DFT total energy (eV/atom): -4.343
Density (g cm⁻³): 8.89
Crystal system: monoclinic
Spin magnetization (μB/cell): 0.002

abc: 3.6351 5.4274 6.2571
angles: 115.46 90.00 109.57
Element x y z (fractional)
Tl 0.1804 0.3609 0.6225
Br 0.0204 0.0409 0.9313
Br 0.8469 0.6938 0.3209
Os 0.4522 0.9045 0.6254

---

# 3
Computed, not measured: crystalline ZnCI2 at its relaxed geometry at the PBEsol level of DFT.

Calculated values
DFT total energy (eV/atom): -1.998
Density (g cm⁻³): 6.50
Crystal system: cubic
Spin magnetization (μB/cell): 0.001

abc: 4.9281 4.9281 4.9281
angles: 60.00 60.00 60.00
Element x y z (fractional)
C 0.0000 0.0000 0.0000
Zn 0.5000 0.5000 0.5000
I 0.2500 0.2500 0.2500
I 0.7500 0.7500 0.7500